CeDyP: optimized geometry, PBE-GGA.

Unit cell a=5.505 b=6.400 c=6.400 alpha=129.25 beta=90.00 gamma=90.00
Fractional coordinates of all 6 atoms:
1 Ce 0.000 0.000 0.000
2 Ce 0.500 0.000 0.000
3 Dy 0.250 0.709 0.291
4 Dy 0.750 0.291 0.709
5 P 0.250 0.222 0.778
6 P 0.750 0.778 0.222

Values from the calculation:
Crystal system: orthorhombic

---

Ce3DyP4: optimized geometry, PBE-GGA.

Unit cell a=4.071 b=7.047 c=7.047 alpha=109.49 beta=90.00 gamma=90.00
Fractional coordinates of all 8 atoms:
1 P 0.500 0.752 0.248
2 P 0.000 0.248 0.248
3 P 0.000 0.752 0.752
4 P 0.500 0.248 0.752
5 Ce 0.000 0.500 0.000
6 Ce 0.500 0.500 0.500
7 Ce 0.000 0.000 0.500
8 Dy 0.500 0.000 0.000

Values from the calculation:
Crystal system: orthorhombic
E above lowest polymorph in kJ per mole of atoms: 0.00

---

CeDyP2: optimized geometry, PBE-GGA.

Unit cell a=4.010 b=4.011 c=7.042 alpha=90.00 beta=90.00 gamma=120.00
Fractional coordinates of all 4 atoms:
1 Dy 0.000 0.500 0.000
2 P 0.333 0.167 0.245
3 P 0.667 0.833 0.755
4 Ce 0.000 0.500 0.500

Values from the calculation:
Crystal system: trigonal
E above lowest polymorph in kJ per mole of atoms: 23.07

---

Ce4DyP5: optimized geometry, PBE-GGA.

Unit cell a=5.762 b=7.056 c=7.056 alpha=80.40 beta=65.90 gamma=65.90
Fractional coordinates of all 10 atoms:
1 P 0.501 0.000 0.000
2 P 0.101 0.602 0.198
3 P 0.703 0.198 0.398
4 P 0.901 0.398 0.802
5 P 0.299 0.802 0.602
6 Ce 0.201 0.200 0.399
7 Ce 0.402 0.399 0.800
8 Ce 0.600 0.601 0.200
9 Ce 0.800 0.800 0.601
10 Dy 0.001 0.000 0.000

Values from the calculation:
Crystal system: tetragonal

---

CeDyP: optimized geometry, PBE-GGA.

Unit cell a=4.764 b=4.764 c=4.764 alpha=60.00 beta=60.00 gamma=60.00
Fractional coordinates of all 3 atoms:
1 Ce 0.500 0.500 0.500
2 Dy 0.000 0.000 0.000
3 P 0.250 0.250 0.250

Values from the calculation:
Crystal system: cubic

---

CeDyP2: optimized geometry, PBE-GGA.

Unit cell a=4.035 b=4.035 c=13.210 alpha=90.00 beta=90.00 gamma=120.00
Fractional coordinates of all 8 atoms:
1 P 0.667 0.333 0.875
2 P 0.667 0.333 0.625
3 P 0.333 0.667 0.375
4 P 0.333 0.667 0.125
5 Ce 0.000 0.000 0.000
6 Ce 0.000 0.000 0.500
7 Dy 0.667 0.333 0.250
8 Dy 0.333 0.667 0.750

Values from the calculation:
Crystal system: hexagonal
E above lowest polymorph in kJ per mole of atoms: 5.01

---

CeDy3P4: optimized geometry, PBE-GGA.

Unit cell a=4.026 b=6.965 c=6.965 alpha=109.41 beta=90.00 gamma=90.00
Fractional coordinates of all 8 atoms:
1 Dy 0.000 0.500 0.000
2 Dy 0.500 0.500 0.500
3 Dy 0.000 0.000 0.500
4 Ce 0.500 0.000 0.000
5 P 0.000 0.748 0.748
6 P 0.000 0.252 0.252
7 P 0.500 0.750 0.250
8 P 0.500 0.250 0.750

Values from the calculation:
Crystal system: orthorhombic
E above lowest polymorph in kJ per mole of atoms: 0.00

---

CeDyP2: optimized geometry, PBE-GGA.

Unit cell a=3.978 b=3.978 c=7.354 alpha=74.31 beta=74.31 gamma=60.00
Fractional coordinates of all 4 atoms:
1 Dy 0.670 0.670 0.991
2 P 0.253 0.253 0.242
3 P 0.080 0.080 0.759
4 Ce 0.497 0.497 0.508

Values from the calculation:
Crystal system: trigonal
E above lowest polymorph in kJ per mole of atoms: 16.45

---

CeDy3P4: optimized geometry, PBE-GGA.

Unit cell a=5.694 b=5.694 c=6.968 alpha=114.11 beta=114.11 gamma=90.00
Fractional coordinates of all 8 atoms:
1 P 0.500 0.000 0.000
2 P 0.751 0.751 0.501
3 P 0.000 0.500 0.000
4 P 0.249 0.249 0.499
5 Dy 0.750 0.250 0.500
6 Dy 0.500 0.500 0.000
7 Dy 0.250 0.750 0.500
8 Ce 0.000 0.000 0.000

Values from the calculation:
Crystal system: tetragonal
E above lowest polymorph in kJ per mole of atoms: 0.29

---

CeDy4P5: optimized geometry, PBE-GGA.

Unit cell a=5.685 b=6.960 c=6.960 alpha=80.40 beta=65.89 gamma=65.89
Fractional coordinates of all 10 atoms:
1 Dy 0.601 0.598 0.201
2 Dy 0.802 0.799 0.598
3 Dy 0.401 0.402 0.799
4 Dy 0.200 0.201 0.402
5 P 0.301 0.800 0.601
6 P 0.100 0.601 0.200
7 P 0.902 0.399 0.800
8 P 0.501 0.000 0.000
9 P 0.701 0.200 0.399
10 Ce 0.001 0.000 0.000

Values from the calculation:
Crystal system: tetragonal

---

Ce4Dy3P8: optimized geometry, PBE-GGA.

Unit cell a=8.127 b=8.071 c=8.071 alpha=90.37 beta=119.90 gamma=119.90
Fractional coordinates of all 15 atoms:
1 Ce 0.000 0.000 0.500
2 Ce 0.500 0.000 0.000
3 Ce 0.000 0.500 0.000
4 Ce 0.000 0.000 0.000
5 P 0.000 0.753 0.753
6 P 0.510 0.757 0.757
7 P 0.000 0.247 0.247
8 P 0.000 0.754 0.246
9 P 0.500 0.251 0.749
10 P 0.490 0.243 0.243
11 P 0.500 0.749 0.251
12 P 0.000 0.246 0.754
13 Dy 0.500 0.500 0.500
14 Dy 0.500 0.500 0.000
15 Dy 0.500 0.000 0.500

Values from the calculation:
Crystal system: monoclinic

---

CeDy2P3: optimized geometry, PBE-GGA.

Unit cell a=4.035 b=5.701 c=6.978 alpha=114.11 beta=106.81 gamma=90.00
Fractional coordinates of all 6 atoms:
1 Dy 0.167 0.667 0.333
2 Dy 0.833 0.333 0.667
3 Ce 0.500 0.000 0.000
4 P 0.500 0.500 0.000
5 P 0.833 0.833 0.665
6 P 0.167 0.167 0.335

Values from the calculation:
Crystal system: orthorhombic

---

CeDy2P: optimized geometry, PBE-GGA.

Unit cell a=3.704 b=3.704 c=10.437 alpha=79.78 beta=79.78 gamma=60.00
Fractional coordinates of all 4 atoms:
1 P 0.500 0.500 0.500
2 Dy 0.113 0.113 0.661
3 Dy 0.887 0.887 0.339
4 Ce 0.000 0.000 0.000

Values from the calculation:
Crystal system: trigonal

---

CeDyPa2P4: optimized geometry, PBE-GGA.

Unit cell a=4.001 b=6.929 c=6.936 alpha=109.48 beta=90.00 gamma=90.00
Fractional coordinates of all 8 atoms:
1 P 0.500 0.745 0.743
2 P 0.000 0.750 0.256
3 P 0.500 0.255 0.257
4 P 0.000 0.250 0.744
5 Pa 0.500 0.000 0.500
6 Pa 0.000 0.500 0.500
7 Ce 0.000 0.000 0.000
8 Dy 0.500 0.500 0.000

Values from the calculation:
Crystal system: monoclinic

---

Ce3DyPa2P6: optimized geometry, PBE-GGA.

Unit cell a=6.970 b=6.970 c=6.997 alpha=99.56 beta=99.56 gamma=120.00
Fractional coordinates of all 12 atoms:
1 Ce 0.834 0.166 0.500
2 Ce 0.166 0.834 0.500
3 Ce 0.500 0.500 0.500
4 P 0.744 0.744 0.241
5 P 0.583 0.920 0.759
6 P 0.920 0.583 0.759
7 P 0.256 0.256 0.759
8 P 0.080 0.417 0.241
9 P 0.417 0.080 0.241
10 Dy 0.000 0.000 0.000
11 Pa 0.333 0.667 0.000
12 Pa 0.667 0.333 0.000

Values from the calculation:
Crystal system: monoclinic

---

CeDy3Pa2P6: optimized geometry, PBE-GGA.

Unit cell a=6.939 b=6.939 c=6.912 alpha=99.63 beta=99.63 gamma=119.99
Fractional coordinates of all 12 atoms:
1 Ce 0.000 0.000 0.000
2 Dy 0.500 0.500 0.500
3 Dy 0.835 0.165 0.500
4 Dy 0.165 0.835 0.500
5 P 0.257 0.257 0.752
6 P 0.917 0.578 0.752
7 P 0.578 0.917 0.752
8 P 0.743 0.743 0.248
9 P 0.422 0.083 0.248
10 P 0.083 0.422 0.248
11 Pa 0.333 0.667 0.000
12 Pa 0.667 0.333 0.000

Values from the calculation:
Crystal system: monoclinic

---

Ce3Dy2PaP6: optimized geometry, PBE-GGA.

Unit cell a=6.989 b=6.989 c=7.014 alpha=99.55 beta=99.55 gamma=119.99
Fractional coordinates of all 12 atoms:
1 Ce 0.500 0.500 0.500
2 Ce 0.832 0.168 0.500
3 Ce 0.168 0.832 0.500
4 P 0.591 0.919 0.758
5 P 0.919 0.591 0.758
6 P 0.753 0.753 0.243
7 P 0.081 0.409 0.242
8 P 0.409 0.081 0.242
9 P 0.247 0.247 0.757
10 Pa 0.000 0.000 0.000
11 Dy 0.334 0.666 0.000
12 Dy 0.666 0.334 0.000

Values from the calculation:
Crystal system: monoclinic

---

Ce2Dy3PaP6: optimized geometry, PBE-GGA.

Unit cell a=6.981 b=6.981 c=6.950 alpha=99.64 beta=99.64 gamma=119.98
Fractional coordinates of all 12 atoms:
1 Pa 0.000 0.000 0.000
2 P 0.083 0.410 0.250
3 P 0.410 0.083 0.250
4 P 0.757 0.757 0.250
5 P 0.590 0.917 0.750
6 P 0.243 0.243 0.750
7 P 0.917 0.590 0.750
8 Dy 0.832 0.168 0.500
9 Dy 0.500 0.500 0.500
10 Dy 0.168 0.832 0.500
11 Ce 0.334 0.666 0.000
12 Ce 0.666 0.334 0.000

Values from the calculation:
Crystal system: monoclinic

---

Ce3Pm2DyP6: optimized geometry, PBE-GGA.

Unit cell a=7.083 b=7.083 c=7.076 alpha=99.61 beta=99.61 gamma=120.01
Fractional coordinates of all 12 atoms:
1 Pm 0.666 0.334 0.000
2 Pm 0.334 0.666 0.000
3 P 0.756 0.756 0.253
4 P 0.084 0.413 0.252
5 P 0.413 0.084 0.252
6 P 0.916 0.587 0.748
7 P 0.244 0.244 0.747
8 P 0.587 0.916 0.748
9 Ce 0.167 0.833 0.500
10 Ce 0.833 0.167 0.500
11 Ce 0.500 0.500 0.500
12 Dy 0.000 0.000 0.000

Values from the calculation:
Crystal system: monoclinic

---

CePm2Dy3P6: optimized geometry, PBE-GGA.

Unit cell a=7.032 b=7.032 c=7.025 alpha=99.61 beta=99.61 gamma=119.98
Fractional coordinates of all 12 atoms:
1 Pm 0.666 0.334 0.000
2 Pm 0.334 0.666 0.000
3 Dy 0.500 0.500 0.500
4 Dy 0.833 0.167 0.500
5 Dy 0.167 0.833 0.500
6 P 0.756 0.756 0.255
7 P 0.414 0.085 0.256
8 P 0.244 0.244 0.745
9 P 0.085 0.414 0.256
10 P 0.915 0.586 0.744
11 P 0.586 0.915 0.744
12 Ce 0.000 0.000 0.000

Values from the calculation:
Crystal system: monoclinic

---

CePm3Dy2P6: optimized geometry, PBE-GGA.

Unit cell a=7.061 b=7.061 c=7.073 alpha=99.58 beta=99.58 gamma=119.99
Fractional coordinates of all 12 atoms:
1 P 0.081 0.413 0.243
2 P 0.252 0.252 0.758
3 P 0.919 0.587 0.757
4 P 0.748 0.748 0.242
5 P 0.587 0.919 0.757
6 P 0.413 0.081 0.243
7 Pm 0.500 0.500 0.500
8 Pm 0.167 0.833 0.500
9 Pm 0.833 0.167 0.500
10 Dy 0.333 0.667 0.000
11 Dy 0.667 0.333 0.000
12 Ce 0.000 0.000 0.000

Values from the calculation:
Crystal system: monoclinic

---

CePmDy2P4: optimized geometry, PBE-GGA.

Unit cell a=4.058 b=7.028 c=7.015 alpha=109.42 beta=90.00 gamma=90.00
Fractional coordinates of all 8 atoms:
1 P 0.500 0.255 0.255
2 P 0.500 0.745 0.745
3 P 0.000 0.749 0.254
4 P 0.000 0.251 0.746
5 Dy 0.000 0.500 0.500
6 Dy 0.500 0.000 0.500
7 Pm 0.000 0.000 0.000
8 Ce 0.500 0.500 0.000

Values from the calculation:
Crystal system: monoclinic

---

CePr3Dy2P6: optimized geometry, PBE-GGA.

Unit cell a=7.122 b=7.122 c=7.138 alpha=99.57 beta=99.57 gamma=119.99
Fractional coordinates of all 12 atoms:
1 P 0.588 0.921 0.762
2 P 0.253 0.253 0.763
3 P 0.079 0.412 0.238
4 P 0.747 0.747 0.237
5 P 0.921 0.588 0.762
6 P 0.412 0.079 0.238
7 Pr 0.167 0.833 0.500
8 Pr 0.500 0.500 0.500
9 Pr 0.833 0.167 0.500
10 Ce 0.000 0.000 0.000
11 Dy 0.667 0.333 0.000
12 Dy 0.333 0.667 0.000

Values from the calculation:
Crystal system: monoclinic

---

| no. | spin magnetization (Bohr magnetons per cell) | theoretical density (g/cm³) | formation energy (meV per atom) |
| --- | --- | --- | --- |
| 1 | 2.4 | 6.345 | -545 |
| 2 | 1.7 | 6.158 | -1525 |
| 3 | 0.8 | 6.172 | -1321 |
| 4 | 2.4 | 6.098 | -1518 |
| 5 | 1.2 | 7.244 | -747 |
| 6 | 0.8 | 6.499 | -1508 |
| 7 | 0.4 | 6.774 | -1590 |
| 8 | 0.9 | 6.324 | -1390 |
| 9 | 0.5 | 6.768 | -1587 |
| 10 | 0.3 | 6.840 | -1598 |
| 11 | 0.9 | 5.748 | -1291 |
| 12 | 0.4 | 6.669 | -1579 |
| 13 | 1.8 | 6.787 | -469 |
| 14 | 0.2 | 8.140 | -1433 |
| 15 | 1.4 | 7.360 | -1462 |
| 16 | 0.5 | 7.797 | -1495 |
| 17 | 2.0 | 6.894 | -1511 |
| 18 | 1.3 | 7.117 | -1531 |
| 19 | 1.5 | 6.068 | -1544 |
| 20 | 0.3 | 6.460 | -1584 |
| 21 | 0.3 | 6.262 | -1576 |
| 22 | 0.4 | 6.459 | -1576 |
| 23 | 0.3 | 6.029 | -1548 |